## Be2Ni2RuO6 (GGA+U)

Data for a relaxed structure of Be2Ni2RuO6.

a b c (Å): 4.8434 4.8434 4.8466
angles (deg): 90.00 90.00 120.00
Space group P-31m (No. 162)
Unique sites:
1 Be 0.3333 0.6667 0.0000 x2
2 Ni 0.3333 0.6667 0.5000 x2
3 Ru 0.0000 0.0000 0.0000 x1
4 O 0.0000 0.3568 0.2147 x6

Values from the calculation:
Uncorrected energy = -66.29 eV for the cell shown